VASP calculation (PBE) on a relaxed structure of Nb2CrSbAs.

The structure in POSCAR format:
```
Nb2CrSbAs
1.0
-1.938 -4.617 -0.875
0.904 0.565 -4.985
4.612 -2.050 0.604
Nb Cr As Sb
2 1 1 1
Cartesian
2.306 -1.025 0.302 Nb
-0.969 -2.309 -0.438 Nb
1.789 -3.051 -2.628 Cr
0.452 0.283 -2.492 As
0.000 0.000 0.000 Sb
```

## Properties
space group = P4/mmm, No. 123
electronic total energy = -5.61 eV/atom
E_form (uncorrected) = 2.095 eV/atom
energy above the most stable polymorph in this dataset = 446 meV/atom
density of states at the Fermi level = 11.1 states/eV per cell